# 1
This record from Alexandria describes a relaxed structure of YHfSi3. The functional is GGA-PBE. Values from VASP.

Quantum ESPRESSO input file:
```
&SYSTEM
  ibrav = 0, nat = 5, ntyp = 3
/
ATOMIC_SPECIES
Y 88.91 Y.upf
Si 28.09 Si.upf
Hf 178.49 Hf.upf
ATOMIC_POSITIONS crystal
Y 0.500 0.500 0.500
Si 0.000 0.500 0.000
Si 0.000 0.000 0.500
Si 0.500 0.000 0.000
Hf 0.000 0.000 0.000
CELL_PARAMETERS angstrom
-1.095 -3.641 3.170
-2.094 -2.571 -3.675
4.350 -2.154 -0.972
```

Computed properties:
E above lowest polymorph (meV per atom): 0
E_form (uncorrected) (eV per atom): 0.246
Mass density (g cm⁻³): 4.81
Total energy (eV/atom): -6.291

---

# 2
This record from Alexandria describes a relaxed structure of YHfSi2. The functional is GGA-PBE. Values from VASP.

Quantum ESPRESSO input file:
```
&SYSTEM
  ibrav = 0, nat = 4, ntyp = 3
/
ATOMIC_SPECIES
Y 88.91 Y.upf
Si 28.09 Si.upf
Hf 178.49 Hf.upf
ATOMIC_POSITIONS crystal
Y 0.500 0.500 0.500
Si 0.258 0.258 0.227
Si 0.742 0.742 0.773
Hf 0.000 0.000 0.000
CELL_PARAMETERS angstrom
3.888 0.000 0.000
1.944 3.367 0.000
1.944 1.122 6.602
```

Computed properties:
E above lowest polymorph (meV per atom): 0
E_form (uncorrected) (eV per atom): -0.550
Mass density (g cm⁻³): 6.21
Total energy (eV/atom): -7.365

---

# 3
This record from Alexandria describes a relaxed structure of Hf3ZnSi. The functional is GGA-PBE. Values from VASP.

Quantum ESPRESSO input file:
```
&SYSTEM
  ibrav = 0, nat = 5, ntyp = 3
/
ATOMIC_SPECIES
Zn 65.41 Zn.upf
Hf 178.49 Hf.upf
Si 28.09 Si.upf
ATOMIC_POSITIONS crystal
Zn 0.500 0.500 0.500
Hf 0.000 0.500 0.000
Hf 0.000 0.000 0.500
Hf 0.500 0.000 0.000
Si 0.000 0.000 0.000
CELL_PARAMETERS angstrom
4.866 0.000 0.000
0.000 4.866 0.000
0.000 0.000 4.866
```

Computed properties:
E above lowest polymorph (meV per atom): 0
E_form (uncorrected) (eV per atom): 0.285
Mass density (g cm⁻³): 9.07
Total energy (eV/atom): -7.027